Entry from Alexandria: a relaxed Ba2MgGaPd crystal (PBE).

Summary:
**Energy relative to the elements**: -269 meV per atom
**V**: 37.662 Å³/atom
**Magnetization**: 0.0 μB/f.u.
**Mass density**: 4.19 g/cm³

Unit cell a=6.212 b=6.212 c=4.880 alpha=90.00 beta=90.00 gamma=90.00
Space group P4/mmm (No. 123)
Unique sites:
Ba1 0.000 0.500 0.000 [2 per cell]
Mg1 0.000 0.000 0.500 [1 per cell]
Ga1 0.500 0.500 0.500 [1 per cell]
Pd1 0.500 0.500 0.000 [1 per cell]